Below is a geometry-optimized K5Ca4 structure, with properties calculated at the GGA-PBE level.

Cell: 10.6609 10.6609 10.6609 Å, 92.69 92.69 154.98°
Last column: nearest neighbours and their distance in Å.
Fractional coordinates of all 9 atoms:
K 0.3302 0.6698 0.0000  4 K 4.06-4.22, 4 Ca 4.35
Ca 0.0000 0.6457 0.6457  4 Ca 3.81
K 0.6698 0.6698 0.3397  4 K 4.06-4.22, 4 Ca 4.35
Ca 0.6457 0.0000 0.6457  4 Ca 3.81
K 0.6698 0.3302 0.0000  4 K 4.06-4.22, 4 Ca 4.35
Ca 0.3543 0.0000 0.3543  4 Ca 3.81
Ca 0.0000 0.3543 0.3543  4 Ca 3.81
K 0.0000 0.0000 0.0000  10 K 4.22-4.62
K 0.3302 0.3302 0.6603  4 K 4.06-4.22, 4 Ca 4.35

## Properties
crystal system = tetragonal

---

Below is a geometry-optimized La2NdMgN structure, with properties calculated at the GGA-PBE level.

Cell: 5.1072 5.1625 5.1625 Å, 90.00 90.00 90.00°
Last column: nearest neighbours and their distance in Å.
Fractional coordinates of all 5 atoms:
Mg 0.5000 0.5000 0.5000  8 La 3.63, 4 Nd 3.65
La 0.0000 0.0000 0.5000  2 N 2.58
La 0.0000 0.5000 0.0000  2 N 2.58
Nd 0.5000 0.0000 0.0000  2 N 2.55
N 0.0000 0.0000 0.0000  2 Nd 2.55, 4 La 2.58

## Properties
formation energy without anion corrections = -602 meV/atom
crystal system = tetragonal

---

Below is a geometry-optimized Sm3ErO structure, with properties calculated at the GGA-PBE level.

Cell: 5.0239 5.0239 5.0239 Å, 90.00 90.00 90.00°
Last column: nearest neighbours and their distance in Å.
Fractional coordinates of all 5 atoms:
O 0.0000 0.0000 0.0000  6 Sm 2.51
Er 0.5000 0.5000 0.5000  12 Sm 3.55
Sm 0.0000 0.5000 0.0000  2 O 2.51
Sm 0.5000 0.0000 0.0000  2 O 2.51
Sm 0.0000 0.0000 0.5000  2 O 2.51

## Properties
formation energy without anion corrections = -1107 meV/atom
crystal system = cubic

---

Below is a geometry-optimized Cs4NdNp3Te8 structure, with properties calculated at the GGA-PBE level.

Cell: 9.3027 10.4179 9.3252 Å, 116.69 119.92 90.00°
Last column: nearest neighbours and their distance in Å.
Fractional coordinates of all 16 atoms:
Np 0.5000 0.5000 0.5000  6 Te 3.17-3.18
Te 0.7677 0.3085 0.5354  2 Np 3.17, 1 Nd 3.21
Nd 0.0000 0.5000 0.0000  6 Te 3.21
Cs 0.5000 0.0000 0.0000  6 Te 3.82-3.83
Te 0.2323 0.6915 0.4646  2 Np 3.17, 1 Nd 3.21
Te 0.7303 0.6896 0.4607  3 Np 3.17-3.18
Np 0.5000 0.5000 0.0000  6 Te 3.18
Np 0.0000 0.5000 0.5000  6 Te 3.17-3.18
Te 0.7282 0.6931 0.9605  2 Np 3.18, 1 Nd 3.21
Te 0.7677 0.3069 0.0395  2 Np 3.18, 1 Nd 3.21
Cs 0.0000 0.0000 0.5000  6 Te 3.85-3.86
Te 0.2718 0.3069 0.0395  2 Np 3.18, 1 Nd 3.21
Te 0.2323 0.6931 0.9605  2 Np 3.18, 1 Nd 3.21
Cs 0.5000 0.0000 0.5000  6 Te 3.85-3.86
Te 0.2697 0.3104 0.5393  3 Np 3.17-3.18
Cs 0.0000 0.0000 0.0000  6 Te 3.84-3.85

## Properties
formation energy without anion corrections = -1005 meV/atom
crystal system = monoclinic

---

Below is a geometry-optimized NaLi2Tl2 structure, with properties calculated at the GGA-PBE level.

Cell: 4.0698 4.0698 7.8595 Å, 74.99 74.99 90.00°
Last column: nearest neighbours and their distance in Å.
Fractional coordinates of all 5 atoms:
Li 0.7500 0.2500 0.5000  4 Li 2.88, 4 Tl 2.93
Tl 0.3938 0.3938 0.2125  4 Li 2.93, 1 Tl 3.11, 4 Na 3.27
Li 0.2500 0.7500 0.5000  4 Li 2.88, 4 Tl 2.93
Na 0.0000 0.0000 0.0000  8 Tl 3.27
Tl 0.6062 0.6062 0.7875  4 Li 2.93, 1 Tl 3.11, 4 Na 3.27

## Properties
distance to the lowest polymorph of the same formula = 0.088 eV per atom
crystal system = tetragonal

---

Below is a geometry-optimized Zr2MoBr structure, with properties calculated at the GGA-PBE level.

Cell: 3.2381 3.2381 8.7210 Å, 90.00 90.00 113.17°
Last column: nearest neighbours and their distance in Å.
Fractional coordinates of all 4 atoms:
Br 0.5000 0.5000 0.2500  4 Zr 2.97, 4 Br 3.24
Mo 0.5000 0.5000 0.7500  4 Zr 2.67
Zr 0.0000 0.0000 0.9780  2 Mo 2.67, 2 Br 2.97
Zr 0.0000 0.0000 0.5220  2 Mo 2.67, 2 Br 2.97

## Properties
distance to the lowest polymorph of the same formula = 0.163 eV per atom
formation energy without anion corrections = -175 meV/atom
crystal system = orthorhombic

---

VASP energy readings, ordered: -1.373; -5.511; -5.843; -5.514; -2.065; -7.575 eV/atom